(1)
{
  "formula": "InCuAgSe2",
  "functional": "meta-GGA SCAN",
  "state": "single point on PBEsol structure",
  "sg": "P4/mmm",
  "final_energy_ev_per_fu": -115.89,
  "lattice_angstrom": [[5.215, 0.000, 0.000], [0.000, 5.215, 0.000], [0.000, 0.000, 5.046]],
  "species": ["In", "Cu", "Ag", "Se", "Se"],
  "fractional_positions": [[0.000, 0.000, 0.000], [0.500, 0.500, 0.500], [0.000, 0.000, 0.500], [0.000, 0.500, 0.000], [0.500, 0.000, 0.000]]
}



(2)
{
  "formula": "MgHgPb",
  "functional": "meta-GGA SCAN",
  "state": "single point on PBEsol structure",
  "sg": "P3m1",
  "ef_ev_per_atom": -0.099,
  "lattice_angstrom": [[5.005, 0.000, 0.000], [-2.502, 4.334, 0.000], [0.000, 0.000, 3.430]],
  "species": ["Mg", "Hg", "Pb"],
  "fractional_positions": [[0.000, 0.000, 0.000], [0.667, 0.333, 0.002], [0.333, 0.667, 0.500]]
}



(3)
{
  "formula": "DySbO3",
  "functional": "meta-GGA SCAN",
  "state": "single point on PBEsol structure",
  "sg": "Pm-3m",
  "final_energy_ev_per_fu": -111.48,
  "lattice_angstrom": [[4.193, 0.000, 0.000], [0.000, 4.193, 0.000], [0.000, 0.000, 4.193]],
  "species": ["Dy", "Sb", "O", "O", "O"],
  "fractional_positions": [[0.000, 0.000, 0.000], [0.500, 0.500, 0.500], [0.000, 0.500, 0.500], [0.500, 0.000, 0.500], [0.500, 0.500, 0.000]]
}



(4)
{
  "formula": "ZrMnIn2",
  "functional": "meta-GGA SCAN",
  "state": "single point on PBEsol structure",
  "sg": "Fm-3m",
  "ef_ev_per_atom": -0.115,
  "lattice_angstrom": [[0.000, 3.375, 3.375], [3.375, 0.000, 3.375], [3.375, 3.375, 0.000]],
  "species": ["Zr", "Mn", "In", "In"],
  "fractional_positions": [[0.000, 0.000, 0.000], [0.500, 0.500, 0.500], [0.250, 0.250, 0.250], [0.750, 0.750, 0.750]]
}



(5)
{
  "formula": "YFeOs2",
  "functional": "meta-GGA SCAN",
  "state": "single point on PBEsol structure",
  "sg": "F-43m",
  "ef_ev_per_atom": 0.285,
  "de_polymorph_ev_per_atom": 0.000,
  "lattice_angstrom": [[0.000, 3.151, 3.151], [3.151, 0.000, 3.151], [3.151, 3.151, 0.000]],
  "species": ["Y", "Fe", "Os", "Os"],
  "fractional_positions": [[0.000, 0.000, 0.000], [0.250, 0.250, 0.250], [0.500, 0.500, 0.500], [0.750, 0.750, 0.750]]
}



(6)
{
  "formula": "Zn2Ag2Te",
  "functional": "meta-GGA SCAN",
  "state": "single point on PBEsol structure",
  "sg": "I4/mmm",
  "final_energy_ev_per_fu": -126.59,
  "lattice_angstrom": [[-1.925, 1.925, 6.368], [1.925, -1.925, 6.368], [1.925, 1.925, -6.368]],
  "species": ["Zn", "Zn", "Ag", "Ag", "Te"],
  "fractional_positions": [[0.100, 0.100, 0.000], [0.900, 0.900, 0.000], [0.250, 0.750, 0.500], [0.750, 0.250, 0.500], [0.500, 0.500, 0.000]]
}



(7)
{
  "formula": "Zn3CrH",
  "functional": "meta-GGA SCAN",
  "state": "single point on PBEsol structure",
  "sg": "Pm-3m",
  "final_energy_ev_per_fu": -61.13,
  "lattice_angstrom": [[3.868, 0.000, 0.000], [0.000, 3.868, 0.000], [0.000, 0.000, 3.868]],
  "species": ["Zn", "Zn", "Zn", "Cr", "H"],
  "fractional_positions": [[0.000, 0.000, 0.500], [0.000, 0.500, 0.000], [0.500, 0.000, 0.000], [0.500, 0.500, 0.500], [0.000, 0.000, 0.000]]
}



(8)
{
  "formula": "LiAgPt2",
  "functional": "meta-GGA SCAN",
  "state": "single point on PBEsol structure",
  "sg": "R-3m",
  "ef_ev_per_atom": -0.370,
  "de_polymorph_ev_per_atom": 0.000,
  "lattice_angstrom": [[1.364, 0.788, 9.053], [-1.364, 0.788, 9.053], [0.000, -1.575, 9.053]],
  "species": ["Li", "Ag", "Pt", "Pt"],
  "fractional_positions": [[0.000, 0.000, 0.000], [0.500, 0.500, 0.500], [0.255, 0.255, 0.255], [0.745, 0.745, 0.745]]
}



(9)
{
  "formula": "RbTlAsSe2",
  "functional": "meta-GGA SCAN",
  "state": "single point on PBEsol structure",
  "sg": "P4/mmm",
  "de_polymorph_ev_per_atom": 0.753,
  "lattice_angstrom": [[5.830, 0.000, 0.000], [0.000, 5.830, 0.000], [0.000, 0.000, 6.036]],
  "species": ["Rb", "Tl", "As", "Se", "Se"],
  "fractional_positions": [[0.000, 0.000, 0.000], [0.500, 0.500, 0.500], [0.000, 0.000, 0.500], [0.000, 0.500, 0.000], [0.500, 0.000, 0.000]]
}



(10)
{
  "formula": "Cs3ScF6",
  "functional": "meta-GGA SCAN",
  "state": "single point on PBEsol structure",
  "sg": "Fm-3m",
  "final_energy_ev_per_fu": -183.87,
  "lattice_angstrom": [[0.000, 4.768, 4.768], [4.768, 0.000, 4.768], [4.768, 4.768, 0.000]],
  "species": ["Cs", "Cs", "Cs", "Sc", "F", "F", "F", "F", "F", "F"],
  "fractional_positions": [[0.000, 0.000, 0.000], [0.250, 0.250, 0.250], [0.750, 0.750, 0.750], [0.500, 0.500, 0.500], [0.289, 0.289, 0.711], [0.289, 0.711, 0.289], [0.289, 0.711, 0.711], [0.711, 0.289, 0.289], [0.711, 0.289, 0.711], [0.711, 0.711, 0.289]]
}



(11)
{
  "formula": "Rb2YSbOs",
  "functional": "meta-GGA SCAN",
  "state": "single point on PBEsol structure",
  "sg": "P4/mmm",
  "final_energy_ev_per_fu": -170.51,
  "lattice_angstrom": [[7.145, 0.000, 0.000], [0.000, 7.145, 0.000], [0.000, 0.000, 5.573]],
  "species": ["Rb", "Rb", "Y", "Sb", "Os"],
  "fractional_positions": [[0.000, 0.500, 0.000], [0.500, 0.000, 0.000], [0.000, 0.000, 0.000], [0.000, 0.000, 0.500], [0.500, 0.500, 0.500]]
}



(12)
{
  "formula": "CuRh3",
  "functional": "meta-GGA SCAN",
  "state": "single point on PBEsol structure",
  "sg": "Pmmm",
  "ef_ev_per_atom": 0.049,
  "lattice_angstrom": [[2.670, 0.000, 0.000], [0.000, 3.707, 0.000], [0.000, 0.000, 5.273]],
  "species": ["Cu", "Rh", "Rh", "Rh"],
  "fractional_positions": [[0.000, 0.000, 0.000], [0.000, 0.000, 0.500], [0.500, 0.500, 0.247], [0.500, 0.500, 0.753]]
}



Theoretical density (computed, g/cm3): 5.374; 9.644; 7.483; 8.113; 13.936; 8.345; 7.149; 14.365; 4.231; 4.271; 3.338; 11.846
N(E_F) (computed, states/eV per atom): 0.552; 0.414; 0.488; 0.885; 0.642; 0.267; 0.427; 0.236; 0.464; 0.000; 0.723; 1.175